This record from Alexandria via LeMat-Bulk describes crystalline Mg6NbCr at its relaxed geometry. The functional is PBE-GGA.

total DFT energy (no corrections)	-3.432	eV per atom
E_form	1.81	eV per formula unit
V	20.29	Å³ per atom
total magnetization	2.502	μB per formula unit
distance to the lowest polymorph of the same formula	0.000	eV/atom
SG	Amm2, No. 38

Cell lengths 4.825, 6.053, 11.114 Å; angles 90.00, 90.00, 90.00 degrees
Atoms (fractional coordinates):
Mg  0.000  0.000  0.000
Mg  0.000  0.240  0.747
Mg  0.000  0.260  0.247
Mg  0.000  0.500  0.500
Mg  0.000  0.740  0.247
Mg  0.000  0.760  0.747
Mg  0.500  0.000  0.157
Mg  0.500  0.244  0.401
Mg  0.500  0.256  0.901
Mg  0.500  0.500  0.657
Mg  0.500  0.744  0.901
Mg  0.500  0.756  0.401
Nb  0.500  0.000  0.634
Nb  0.500  0.500  0.134
Cr  0.000  0.000  0.519
Cr  0.000  0.500  0.019

=====

This record from Alexandria via LeMat-Bulk describes crystalline Mg6NbCr at its relaxed geometry. The functional is PBE-GGA.

total DFT energy (no corrections)	-3.388	eV per atom
E_form	2.16	eV per formula unit
V	20.40	Å³ per atom
total magnetization	2.723	μB per formula unit
distance to the lowest polymorph of the same formula	0.044	eV/atom
SG	Amm2, No. 38

Cell lengths 4.971, 5.962, 11.012 Å; angles 90.00, 90.00, 90.00 degrees
Atoms (fractional coordinates):
Mg  0.000  0.000  0.000
Mg  0.000  0.000  0.493
Mg  0.000  0.245  0.759
Mg  0.000  0.255  0.259
Mg  0.000  0.500  0.500
Mg  0.000  0.500  0.993
Mg  0.000  0.745  0.259
Mg  0.000  0.755  0.759
Mg  0.500  0.249  0.098
Mg  0.500  0.251  0.598
Mg  0.500  0.749  0.598
Mg  0.500  0.751  0.098
Nb  0.500  0.000  0.850
Nb  0.500  0.500  0.350
Cr  0.500  0.000  0.343
Cr  0.500  0.500  0.843

=====

This record from Alexandria via LeMat-Bulk describes crystalline Mg2NbCr at its relaxed geometry. The functional is PBE-GGA.

total DFT energy (no corrections)	-4.784	eV per atom
E_form	3.75	eV per formula unit
V	18.13	Å³ per atom
total magnetization	0.000	μB per formula unit
distance to the lowest polymorph of the same formula	0.157	eV/atom
SG	I-42d, No. 122

Cell lengths 7.502, 7.502, 5.153 Å; angles 90.00, 90.00, 90.00 degrees
Atoms (fractional coordinates):
Mg  0.223  0.250  0.125
Mg  0.250  0.723  0.375
Mg  0.250  0.777  0.875
Mg  0.277  0.250  0.625
Mg  0.723  0.750  0.625
Mg  0.750  0.223  0.875
Mg  0.750  0.277  0.375
Mg  0.777  0.750  0.125
Nb  0.000  0.000  0.500
Nb  0.000  0.500  0.750
Nb  0.500  0.000  0.250
Nb  0.500  0.500  0.000
Cr  0.000  0.000  0.000
Cr  0.000  0.500  0.250
Cr  0.500  0.000  0.750
Cr  0.500  0.500  0.500

=====

This record from Alexandria via LeMat-Bulk describes crystalline MgNbCrOs at its relaxed geometry. The functional is PBE-GGA.

total DFT energy (no corrections)	-8.104	eV per atom
E_form	0.10	eV per formula unit
V	15.79	Å³ per atom
total magnetization	2.925	μB per formula unit
SG	F-43m, No. 216

Cell lengths 6.321, 6.321, 6.321 Å; angles 90.00, 90.00, 90.00 degrees
Atoms (fractional coordinates):
Mg  0.000  0.000  0.000
Mg  0.000  0.500  0.500
Mg  0.500  0.000  0.500
Mg  0.500  0.500  0.000
Nb  0.000  0.000  0.500
Nb  0.000  0.500  0.000
Nb  0.500  0.000  0.000
Nb  0.500  0.500  0.500
Cr  0.250  0.250  0.750
Cr  0.250  0.750  0.250
Cr  0.750  0.250  0.250
Cr  0.750  0.750  0.750
Os  0.250  0.250  0.250
Os  0.250  0.750  0.750
Os  0.750  0.250  0.750
Os  0.750  0.750  0.250

=====

This record from Alexandria via LeMat-Bulk describes crystalline MgNbCr2P at its relaxed geometry. The functional is PBE-GGA.

total DFT energy (no corrections)	-5.172	eV per atom
E_form	10.46	eV per formula unit
V	17.74	Å³ per atom
total magnetization	0.191	μB per formula unit
SG	P4/mmm, No. 123

Cell lengths 4.288, 4.288, 4.824 Å; angles 90.00, 90.00, 90.00 degrees
Atoms (fractional coordinates):
Mg  0.000  0.000  0.000
Nb  0.000  0.000  0.500
Cr  0.000  0.500  0.000
Cr  0.500  0.000  0.000
P  0.500  0.500  0.500

=====

This record from Alexandria via LeMat-Bulk describes crystalline MgNb2CrP at its relaxed geometry. The functional is PBE-GGA.

total DFT energy (no corrections)	-6.655	eV per atom
E_form	3.49	eV per formula unit
V	19.34	Å³ per atom
total magnetization	0.137	μB per formula unit
SG	P4/mmm, No. 123

Cell lengths 4.636, 4.636, 4.499 Å; angles 90.00, 90.00, 90.00 degrees
Atoms (fractional coordinates):
Mg  0.000  0.000  0.000
Nb  0.000  0.500  0.500
Nb  0.500  0.000  0.500
Cr  0.500  0.500  0.000
P  0.000  0.000  0.500

=====

This record from Alexandria via LeMat-Bulk describes crystalline Mg2NbCrPd at its relaxed geometry. The functional is PBE-GGA.

total DFT energy (no corrections)	-4.324	eV per atom
E_form	6.45	eV per formula unit
V	26.57	Å³ per atom
total magnetization	2.898	μB per formula unit
SG	P4/mmm, No. 123

Cell lengths 5.277, 5.277, 4.772 Å; angles 90.00, 90.00, 90.00 degrees
Atoms (fractional coordinates):
Mg  0.000  0.500  0.000
Mg  0.500  0.000  0.000
Nb  0.000  0.000  0.000
Cr  0.500  0.500  0.500
Pd  0.000  0.000  0.500

=====

This record from Alexandria via LeMat-Bulk describes crystalline MgNb2CrTc at its relaxed geometry. The functional is PBE-GGA.

total DFT energy (no corrections)	-6.344	eV per atom
E_form	10.01	eV per formula unit
V	18.43	Å³ per atom
total magnetization	0.000	μB per formula unit
SG	P4/mmm, No. 123

Cell lengths 4.727, 4.727, 4.123 Å; angles 90.00, 90.00, 90.00 degrees
Atoms (fractional coordinates):
Mg  0.000  0.000  0.000
Nb  0.000  0.500  0.000
Nb  0.500  0.000  0.000
Cr  0.000  0.000  0.500
Tc  0.500  0.500  0.500

=====

This record from Alexandria via LeMat-Bulk describes crystalline Mg2NbTlCr at its relaxed geometry. The functional is PBE-GGA.

total DFT energy (no corrections)	-4.312	eV per atom
E_form	3.69	eV per formula unit
V	23.44	Å³ per atom
total magnetization	0.004	μB per formula unit
SG	P4/mmm, No. 123

Cell lengths 5.171, 5.171, 4.384 Å; angles 90.00, 90.00, 90.00 degrees
Atoms (fractional coordinates):
Mg  0.000  0.500  0.000
Mg  0.500  0.000  0.000
Nb  0.000  0.000  0.500
Tl  0.500  0.500  0.500
Cr  0.000  0.000  0.000

=====

This record from Alexandria via LeMat-Bulk describes crystalline Mg14CrNi at its relaxed geometry. The functional is PBE-GGA.

total DFT energy (no corrections)	-2.284	eV per atom
E_form	1.19	eV per formula unit
V	20.90	Å³ per atom
total magnetization	4.491	μB per formula unit
SG	P-6m2, No. 187

Cell lengths 6.220, 6.220, 9.982 Å; angles 90.00, 90.00, 120.00 degrees
Atoms (fractional coordinates):
Mg  0.000  0.000  0.247
Mg  0.000  0.000  0.753
Mg  0.013  0.507  0.259
Mg  0.013  0.507  0.741
Mg  0.330  0.165  0.500
Mg  0.337  0.168  0.000
Mg  0.493  0.507  0.259
Mg  0.493  0.507  0.741
Mg  0.493  0.987  0.259
Mg  0.493  0.987  0.741
Mg  0.832  0.168  0.000
Mg  0.832  0.663  0.000
Mg  0.835  0.165  0.500
Mg  0.835  0.670  0.500
Cr  0.333  0.667  0.000
Ni  0.333  0.667  0.500

=====

This record from Alexandria via LeMat-Bulk describes crystalline MgCrNi at its relaxed geometry. The functional is PBE-GGA.

total DFT energy (no corrections)	-5.508	eV per atom
E_form	0.47	eV per formula unit
V	13.99	Å³ per atom
total magnetization	1.537	μB per formula unit
distance to the lowest polymorph of the same formula	0.102	eV/atom
SG	Imma, No. 74

Cell lengths 4.607, 5.065, 7.195 Å; angles 90.00, 90.00, 90.00 degrees
Atoms (fractional coordinates):
Mg  0.000  0.250  0.123
Mg  0.000  0.750  0.877
Mg  0.500  0.250  0.377
Mg  0.500  0.750  0.623
Cr  0.250  0.250  0.750
Cr  0.250  0.750  0.250
Cr  0.750  0.250  0.750
Cr  0.750  0.750  0.250
Ni  0.000  0.000  0.500
Ni  0.000  0.500  0.500
Ni  0.500  0.000  0.000
Ni  0.500  0.500  0.000

=====

This record from Alexandria via LeMat-Bulk describes crystalline MgCrNi at its relaxed geometry. The functional is PBE-GGA.

total DFT energy (no corrections)	-5.401	eV per atom
E_form	0.80	eV per formula unit
V	13.85	Å³ per atom
total magnetization	0.000	μB per formula unit
distance to the lowest polymorph of the same formula	0.209	eV/atom
SG	Pm, No. 6

Cell lengths 4.586, 2.716, 6.675 Å; angles 90.00, 91.58, 90.00 degrees
Atoms (fractional coordinates):
Mg  0.000  0.000  0.000
Mg  0.484  0.000  0.714
Cr  0.243  0.500  0.342
Cr  0.504  0.500  0.118
Ni  0.772  0.000  0.374
Ni  0.986  0.500  0.664